# KMnAl2

A PBEsol-optimized structure of KMnAl2 (meta-GGA SCAN, Alexandria via LeMat-Bulk).

a = 5.280 Å, b = 5.280 Å, c = 9.334 Å
α = 106.43°, β = 106.43°, γ = 90.00°
Fractional positions:
Al1 0.125 0.875 0.750
Al2 0.625 0.875 0.750
Al3 0.125 0.875 0.250
Al4 0.125 0.375 0.250
Mn1 0.000 0.000 0.000
Mn2 0.250 0.750 0.500
K1 0.500 0.500 0.000
K2 0.750 0.250 0.500

Results
Space group = I4_1/amd
Energy of formation from the pure elements = 0.43 eV per atom
Distance to the lowest polymorph of the same formula = 0.000 eV/f.u.
Calculated total energy = -10.0915 eV/atom
Total magnetization = 3.6 μB/f.u.

# K2MnAl

A PBEsol-optimized structure of K2MnAl (meta-GGA SCAN, Alexandria via LeMat-Bulk).

a = 4.861 Å, b = 9.210 Å, c = 9.210 Å
α = 86.01°, β = 74.70°, γ = 74.70°
Fractional positions:
K1 0.951 0.174 0.674
K2 0.375 0.674 0.826
K3 0.875 0.326 0.174
K4 0.799 0.826 0.326
Mn1 0.750 0.500 0.500
Mn2 0.000 0.000 0.000
Al1 0.250 0.500 0.500
Al2 0.500 0.000 0.000

Results
Space group = I-42d
Energy of formation from the pure elements = 0.49 eV per atom
Calculated total energy = -10.1805 eV/atom
Total magnetization = 4.4 μB/f.u.

# K2MnAl

A PBEsol-optimized structure of K2MnAl (meta-GGA SCAN, Alexandria via LeMat-Bulk).

a = 3.226 Å, b = 3.226 Å, c = 11.464 Å
α = 90.00°, β = 90.00°, γ = 95.12°
Fractional positions:
Mn1 0.500 0.500 0.500
Al1 0.500 0.500 0.000
K1 0.000 0.000 0.753
K2 0.000 0.000 0.247

Results
Space group = Cmmm
Energy of formation from the pure elements = 0.66 eV per atom
Calculated total energy = -10.0083 eV/atom
Total magnetization = 5.1 μB/f.u.

# KMnAlMo2

A PBEsol-optimized structure of KMnAlMo2 (meta-GGA SCAN, Alexandria via LeMat-Bulk).

a = 4.713 Å, b = 4.713 Å, c = 5.292 Å
α = 90.00°, β = 90.00°, γ = 90.00°
Fractional positions:
K1 0.000 0.000 0.500
Mn1 0.500 0.500 0.500
Al1 0.000 0.000 0.000
Mo1 0.000 0.500 0.000
Mo2 0.500 0.000 0.000

Results
Space group = P4/mmm
Energy of formation from the pure elements = 1.74 eV per atom
Calculated total energy = -19.0776 eV/atom
Total magnetization = 0.0 μB/f.u.

# KAlMo

A PBEsol-optimized structure of KAlMo (meta-GGA SCAN, Alexandria via LeMat-Bulk).

a = 2.748 Å, b = 2.748 Å, c = 8.225 Å
α = 99.62°, β = 99.62°, γ = 90.00°
Fractional positions:
Al1 0.980 0.980 0.960
K1 0.664 0.664 0.328
Mo1 0.356 0.356 0.712

Results
Space group = I4mm
Energy of formation from the pure elements = 0.65 eV per atom
Calculated total energy = -16.3354 eV/atom
Total magnetization = 0.0 μB/f.u.

# K3AlMo

A PBEsol-optimized structure of K3AlMo (meta-GGA SCAN, Alexandria via LeMat-Bulk).

a = 6.438 Å, b = 6.438 Å, c = 6.438 Å
α = 90.00°, β = 90.00°, γ = 90.00°
Fractional positions:
K1 0.500 0.000 0.000
K2 0.000 0.000 0.500
K3 0.000 0.500 0.000
Mo1 0.500 0.500 0.500
Al1 0.000 0.000 0.000

Results
Space group = Pm-3m
Energy of formation from the pure elements = 1.29 eV per atom
Calculated total energy = -12.2318 eV/atom
Total magnetization = 4.3 μB/f.u.

# K2AlMo3P8O28

A PBEsol-optimized structure of K2AlMo3P8O28 (meta-GGA SCAN, Alexandria via LeMat-Bulk).

a = 7.543 Å, b = 9.170 Å, c = 9.550 Å
α = 117.57°, β = 103.28°, γ = 100.12°
Fractional positions:
O1 0.799 0.522 0.675
O2 0.896 0.199 0.004
O3 0.452 0.262 0.962
O4 0.814 0.875 0.804
O5 0.351 0.558 0.153
O6 0.361 0.057 0.647
O7 0.186 0.125 0.196
O8 0.201 0.478 0.325
O9 0.257 0.415 0.793
O10 0.905 0.701 0.513
O11 0.743 0.585 0.207
O12 0.267 0.928 0.309
O13 0.552 0.507 0.365
O14 0.448 0.493 0.635
O15 0.548 0.738 0.038
O16 0.195 0.625 0.697
O17 0.095 0.299 0.487
O18 0.805 0.375 0.303
O19 0.798 0.028 0.184
O20 0.733 0.072 0.691
O21 0.202 0.972 0.816
O22 0.557 0.225 0.535
O23 0.639 0.943 0.353
O24 0.550 0.993 0.854
O25 0.649 0.442 0.847
O26 0.104 0.801 0.996
O27 0.450 0.007 0.146
O28 0.443 0.775 0.465
Mo1 0.004 0.750 0.753
Mo2 0.996 0.250 0.247
Mo3 0.500 0.500 0.000
P1 0.618 0.414 0.669
P2 0.615 0.928 0.184
P3 0.757 0.036 0.835
P4 0.759 0.542 0.346
P5 0.382 0.586 0.331
P6 0.241 0.458 0.654
P7 0.385 0.072 0.816
P8 0.243 0.964 0.165
Al1 0.500 0.000 0.500
K1 0.000 0.000 0.500
K2 0.000 0.500 0.000

Results
Space group = P-1
ΔE_f (raw) = -2.45 eV per atom
Calculated total energy = -11.6597 eV/atom
Total magnetization = 7.0 μB/f.u.

# K2SrAlN

A PBEsol-optimized structure of K2SrAlN (meta-GGA SCAN, Alexandria via LeMat-Bulk).

a = 3.648 Å, b = 6.975 Å, c = 6.975 Å
α = 90.00°, β = 90.00°, γ = 90.00°
Fractional positions:
K1 0.000 0.000 0.500
K2 0.000 0.500 0.000
Al1 0.500 0.000 0.000
N1 0.000 0.000 0.000
Sr1 0.500 0.500 0.500

Results
Space group = P4/mmm
ΔE_f (raw) = 0.25 eV per atom
Calculated total energy = -10.9428 eV/atom
Total magnetization = 0.8 μB/f.u.

What did the second record say?
# K2MnAl

A PBEsol-optimized structure of K2MnAl (meta-GGA SCAN, Alexandria via LeMat-Bulk).

a = 4.861 Å, b = 9.210 Å, c = 9.210 Å
α = 86.01°, β = 74.70°, γ = 74.70°
Fractional positions:
K1 0.951 0.174 0.674
K2 0.375 0.674 0.826
K3 0.875 0.326 0.174
K4 0.799 0.826 0.326
Mn1 0.750 0.500 0.500
Mn2 0.000 0.000 0.000
Al1 0.250 0.500 0.500
Al2 0.500 0.000 0.000

Results
Space group = I-42d
Energy of formation from the pure elements = 0.49 eV per atom
Calculated total energy = -10.1805 eV/atom
Total magnetization = 4.4 μB/f.u.

> Which of these has the highest total magnetization?

K2AlMo3P8O28